(1)
Computed, not measured: crystalline AcLa2Tb4 at its relaxed geometry at the PBE-GGA level of DFT.

Properties
- V (Å³ per cell) = 501.6
- SG = C2/c (15)
- distance to the lowest polymorph of the same formula (meV/atom) = 0
- uncorrected energy (eV/atom) = -4.455
- Fermi-level density of states (states/eV/cell) = 23.0

Unit cell a=6.963 b=6.963 c=12.776 alpha=96.93 beta=96.93 gamma=123.16
Fractional positions:
Ac 0.124 0.876 0.750
Ac 0.876 0.124 0.250
La 0.186 0.814 0.250
La 0.437 0.563 0.750
La 0.563 0.437 0.250
La 0.814 0.186 0.750
Tb 0.225 0.249 0.992
Tb 0.249 0.225 0.492
Tb 0.258 0.733 0.508
Tb 0.267 0.742 0.992
Tb 0.733 0.258 0.008
Tb 0.742 0.267 0.492
Tb 0.751 0.775 0.508
Tb 0.775 0.751 0.008



(2)
Computed, not measured: crystalline SrLaZnPt at its relaxed geometry at the PBE-GGA level of DFT.

Properties
- V (Å³ per cell) = 103.1
- SG = F-43m (216)
- uncorrected energy (eV/atom) = -4.069
- Fermi-level density of states (states/eV/cell) = 2.6

Unit cell a=5.263 b=5.263 c=5.263 alpha=60.00 beta=60.00 gamma=60.00
Fractional positions:
Sr 0.000 0.000 0.000
La 0.500 0.500 0.500
Zn 0.250 0.250 0.250
Pt 0.750 0.750 0.750



(3)
Computed, not measured: crystalline Tl3H8Br at its relaxed geometry at the PBE-GGA level of DFT.

Properties
- V (Å³ per cell) = 203.2
- SG = I-42m (121)
- uncorrected energy (eV/atom) = -2.932
- Fermi-level density of states (states/eV/cell) = 1.3

Unit cell a=6.450 b=6.450 c=6.450 alpha=105.43 beta=105.43 gamma=117.89
Fractional positions:
Tl 0.000 0.000 0.000
Tl 0.250 0.750 0.500
Tl 0.750 0.250 0.500
H 0.066 0.533 0.000
H 0.069 0.069 0.531
H 0.462 0.931 0.000
H 0.467 0.467 0.532
H 0.533 0.066 0.000
H 0.538 0.538 0.469
H 0.931 0.462 0.000
H 0.934 0.934 0.468
Br 0.500 0.500 0.000



(4)
Computed, not measured: crystalline HfGeI2O at its relaxed geometry at the PBE-GGA level of DFT.

Properties
- formation energy without anion corrections (meV per atom) = -742
- V (Å³ per cell) = 134.8
- SG = P4/mmm (123)
- distance to the lowest polymorph of the same formula (meV/atom) = 0
- uncorrected energy (eV/atom) = -5.268
- Fermi-level density of states (states/eV/cell) = 3.2

Unit cell a=5.843 b=5.843 c=3.949 alpha=90.00 beta=90.00 gamma=90.00
Fractional positions:
Hf 0.000 0.000 0.000
Ge 0.500 0.500 0.500
I 0.000 0.500 0.000
I 0.500 0.000 0.000
O 0.000 0.000 0.500